NdSm4Mg after structural relaxation, computed with PBE.

Lattice parameters (Å, degrees): 6.8218 6.6522 9.9987 90.00 90.00 118.84
Closest atoms and distances in Å follow each position.
Atoms (fractional coordinates):
Sm1 0.7430 0.5132 0.5649  2 Mg 3.34-3.59, 6 Sm 3.40-3.70, 2 Nd 3.54-3.58
Nd1 0.0000 0.2500 0.7502  2 Mg 3.43, 8 Sm 3.54-3.58
Sm2 0.7426 0.0140 0.0652  2 Mg 3.34-3.60, 6 Sm 3.40-3.70, 2 Nd 3.54-3.58
Sm3 0.2574 0.4860 0.0652  2 Mg 3.34-3.60, 6 Sm 3.40-3.70, 2 Nd 3.54-3.58
Mg1 0.5000 0.2500 0.2503  8 Sm 3.34-3.60, 2 Nd 3.43
Sm4 0.2574 0.9860 0.9348  2 Mg 3.34-3.60, 6 Sm 3.40-3.70, 2 Nd 3.54-3.58
Sm5 0.2570 0.9868 0.5649  2 Mg 3.34-3.59, 6 Sm 3.40-3.70, 2 Nd 3.54-3.58
Sm6 0.7426 0.5140 0.9348  2 Mg 3.34-3.60, 6 Sm 3.40-3.70, 2 Nd 3.54-3.58
Mg2 0.5000 0.7500 0.7497  8 Sm 3.34-3.60, 2 Nd 3.43
Nd2 0.0000 0.7500 0.2498  2 Mg 3.43, 8 Sm 3.54-3.58
Sm7 0.7430 0.0132 0.4351  2 Mg 3.34-3.59, 6 Sm 3.40-3.70, 2 Nd 3.54-3.58
Sm8 0.2570 0.4868 0.4351  2 Mg 3.34-3.59, 6 Sm 3.40-3.70, 2 Nd 3.54-3.58

## Properties
E above lowest polymorph	0.1566	eV per atom
E_form	136	meV/atom
crystal system	monoclinic